No. 1
## Ce3PrEr2S6 (GGA-PBE)

Data for Ce3PrEr2S6 after structural relaxation.

Lattice parameters (Å, degrees): 6.8925 6.8925 6.9396 99.55 99.55 120.03
Closest atoms and distances in Å follow each position.
Positions (direct):
Ce  0.0000  0.0000  0.0000  6 S 2.80-2.88
Ce  0.3379  0.6621  0.0000  6 S 2.82-2.89
Ce  0.6621  0.3379  0.0000  6 S 2.82-2.89
Pr  0.5000  0.5000  0.5000  6 S 2.85-2.86
Er  0.1671  0.8329  0.5000  6 S 2.74-2.76
Er  0.8329  0.1671  0.5000  6 S 2.74-2.76
S  0.0734  0.4190  0.2574  2 Er 2.76, 3 Ce 2.82-2.89, 1 Pr 2.86
S  0.2334  0.2334  0.7377  2 Er 2.74, 3 Ce 2.80-2.87, 1 Pr 2.85
S  0.4190  0.0734  0.2574  2 Er 2.76, 3 Ce 2.82-2.89, 1 Pr 2.86
S  0.5810  0.9266  0.7426  2 Er 2.76, 3 Ce 2.82-2.89, 1 Pr 2.86
S  0.7666  0.7666  0.2623  2 Er 2.74, 3 Ce 2.80-2.87, 1 Pr 2.85
S  0.9266  0.5810  0.7426  2 Er 2.76, 3 Ce 2.82-2.89, 1 Pr 2.86

Properties
Calculated total energy in eV per atom: -6.7197
SG: No. 12
N(E_F) in states/eV per cell: 16.5
Raw formation energy in meV/atom: -2014


No. 2
## VHgSe2N (GGA-PBE)

Data for VHgSe2N after structural relaxation.

Lattice parameters (Å, degrees): 5.2669 5.2669 3.9746 90.00 90.00 90.00
Closest atoms and distances in Å follow each position.
Positions (direct):
V  0.0000  0.0000  0.0000  8 Se 3.30
Hg  0.5000  0.5000  0.5000  2 N 1.99
Se  0.0000  0.5000  0.5000  2 Hg 2.63
Se  0.5000  0.0000  0.5000  2 Hg 2.63
N  0.5000  0.5000  0.0000  2 Hg 1.99

Properties
Calculated total energy in eV per atom: -3.2637
SG: No. 123
N(E_F) in states/eV per cell: 11.6
Raw formation energy in meV/atom: 1679
Energy above the most stable polymorph in this dataset in meV per atom: 1616.8


No. 3
## SrSbRh2 (GGA-PBE)

Data for SrSbRh2 after structural relaxation.

Lattice parameters (Å, degrees): 4.4266 4.4475 4.6641 90.00 95.04 90.00
Closest atoms and distances in Å follow each position.
Positions (direct):
Sr  0.0000  0.0000  0.0000  7 Rh 2.99-3.32, 2 Sb 3.33
Sb  0.4823  0.5000  0.7535  4 Rh 2.57-2.58
Rh  0.4985  0.0000  0.4759  2 Sb 2.58
Rh  0.9579  0.5000  0.4692  2 Sb 2.57-2.58

Properties
Calculated total energy in eV per atom: -5.4264
SG: No. 6
N(E_F) in states/eV per cell: 2.3
Raw formation energy in meV/atom: -300


No. 4
## Tb7Tm2Sc2 (GGA-PBE)

Data for Tb7Tm2Sc2 after structural relaxation.

Lattice parameters (Å, degrees): 6.6040 6.6040 9.6690 90.00 90.00 122.41
Closest atoms and distances in Å follow each position.
Positions (direct):
Tb  0.0000  0.0000  0.0000  2 Tm 3.26
Tb  0.0000  0.5000  0.3173  5 Tb 3.18-3.53, 2 Sc 3.39, 2 Tm 3.48
Tb  0.0000  0.5000  0.6827  5 Tb 3.18-3.53, 2 Sc 3.39, 2 Tm 3.48
Tb  0.5000  0.0000  0.3173  5 Tb 3.18-3.53, 2 Sc 3.39, 2 Tm 3.48
Tb  0.5000  0.0000  0.6827  5 Tb 3.18-3.53, 2 Sc 3.39, 2 Tm 3.48
Tb  0.5000  0.5000  0.1999  2 Tm 3.18, 2 Sc 3.30, 4 Tb 3.49
Tb  0.5000  0.5000  0.8001  2 Tm 3.18, 2 Sc 3.30, 4 Tb 3.49
Tm  0.2819  0.7181  0.0000  7 Tb 3.18-3.48, 2 Tm 3.27
Tm  0.7181  0.2819  0.0000  7 Tb 3.18-3.48, 2 Tm 3.27
Sc  0.2533  0.2533  0.5000  2 Sc 3.14-3.22, 6 Tb 3.30-3.39
Sc  0.7467  0.7467  0.5000  2 Sc 3.14-3.22, 6 Tb 3.30-3.39

Properties
Calculated total energy in eV per atom: -4.5336
DFT formation energy in eV/atom: 0.38
SG: No. 65
N(E_F) in states/eV per cell: 19.9
Energy above the most stable polymorph in this dataset in meV per atom: 204.9


No. 5
## LiInOs (GGA-PBE)

Data for LiInOs after structural relaxation.

Lattice parameters (Å, degrees): 3.2684 3.2684 8.7988 90.00 90.00 90.00
Closest atoms and distances in Å follow each position.
Positions (direct):
Li  0.0000  0.0000  0.0000  4 Os 2.65, 5 In 2.79-2.83
Li  0.5000  0.5000  0.5000  4 Os 2.65, 5 In 2.79-2.83
In  0.0000  0.0000  0.6786  5 Os 2.77-2.86, 5 Li 2.79-2.83
In  0.5000  0.5000  0.1786  5 Os 2.77-2.86, 5 Li 2.79-2.83
Os  0.0000  0.0000  0.3530  4 Li 2.65, 5 In 2.77-2.86
Os  0.5000  0.5000  0.8530  4 Li 2.65, 5 In 2.77-2.86

Properties
Calculated total energy in eV per atom: -4.9235
DFT formation energy in eV/atom: 0.37
SG: No. 107
N(E_F) in states/eV per cell: 6.0
Energy above the most stable polymorph in this dataset in meV per atom: 133.0


No. 6
## Y7ErTh3 (GGA-PBE)

Data for Y7ErTh3 after structural relaxation.

Lattice parameters (Å, degrees): 7.1091 7.1091 8.5352 90.00 90.00 120.00
Closest atoms and distances in Å follow each position.
Positions (direct):
Y  0.0000  0.0000  0.0000  3 Th 3.47, 9 Y 3.55-3.57
Y  0.1657  0.3313  0.6566  2 Th 3.48, 7 Y 3.53-3.58, 2 Er 3.55
Y  0.1657  0.8343  0.6566  2 Th 3.48, 7 Y 3.53-3.58, 2 Er 3.55
Y  0.5013  0.0026  0.9962  2 Th 3.49, 8 Y 3.53-3.58, 1 Er 3.56
Y  0.5013  0.4987  0.9962  2 Th 3.49, 8 Y 3.53-3.58, 1 Er 3.56
Y  0.6687  0.8343  0.6566  2 Th 3.48, 7 Y 3.53-3.58, 2 Er 3.55
Y  0.9974  0.4987  0.9962  2 Th 3.49, 8 Y 3.53-3.58, 1 Er 3.56
Er  0.6667  0.3333  0.6541  3 Th 3.46, 9 Y 3.55-3.56
Th  0.3342  0.1671  0.3275  1 Er 3.46, 5 Y 3.47-3.49, 4 Th 3.54-3.56
Th  0.8329  0.1671  0.3275  1 Er 3.46, 5 Y 3.47-3.49, 4 Th 3.54-3.56
Th  0.8329  0.6658  0.3275  1 Er 3.46, 5 Y 3.47-3.49, 4 Th 3.54-3.56

Properties
Calculated total energy in eV per atom: -6.3396
DFT formation energy in eV/atom: 0.21
SG: No. 156
N(E_F) in states/eV per cell: 15.9
Energy above the most stable polymorph in this dataset in meV per atom: 55.1


No. 7
## HfTiRe2 (GGA-PBE)

Data for HfTiRe2 after structural relaxation.

Lattice parameters (Å, degrees): 3.9275 3.9275 19.3387 90.00 90.00 90.00
Closest atoms and distances in Å follow each position.
Positions (direct):
Hf  0.0000  0.0000  0.0000  4 Ti 2.78, 4 Re 2.89
Hf  0.0000  0.5000  0.2500  4 Ti 2.78, 4 Re 2.89
Hf  0.5000  0.0000  0.7500  4 Ti 2.78, 4 Re 2.89
Hf  0.5000  0.5000  0.5000  4 Ti 2.78, 4 Re 2.89
Ti  0.0000  0.0000  0.5000  4 Re 2.71, 4 Hf 2.78
Ti  0.0000  0.5000  0.7500  4 Re 2.71, 4 Hf 2.78
Ti  0.5000  0.0000  0.2500  4 Re 2.71, 4 Hf 2.78
Ti  0.5000  0.5000  0.0000  4 Re 2.71, 4 Hf 2.78
Re  0.1862  0.2500  0.6250  2 Re 2.45, 2 Ti 2.71
Re  0.2500  0.6862  0.8750  2 Re 2.45, 2 Ti 2.71
Re  0.2500  0.8138  0.3750  2 Re 2.45, 2 Ti 2.71
Re  0.3138  0.2500  0.1250  2 Re 2.45, 2 Ti 2.71
Re  0.6862  0.7500  0.1250  2 Re 2.45, 2 Ti 2.71
Re  0.7500  0.1862  0.3750  2 Re 2.45, 2 Ti 2.71
Re  0.7500  0.3138  0.8750  2 Re 2.45, 2 Ti 2.71
Re  0.8138  0.7500  0.6250  2 Re 2.45, 2 Ti 2.71

Properties
Calculated total energy in eV per atom: -10.0716
DFT formation energy in eV/atom: 0.61
SG: No. 122
N(E_F) in states/eV per cell: 11.5
Energy above the most stable polymorph in this dataset in meV per atom: 941.0


No. 8
## SrLaPdAu (GGA-PBE)

Data for SrLaPdAu after structural relaxation.

Lattice parameters (Å, degrees): 4.6394 4.1206 11.5855 90.00 90.00 90.00
Closest atoms and distances in Å follow each position.
Positions (direct):
Sr  0.0000  0.0000  0.0000  3 Pd 3.15-3.35, 4 Au 3.18
Sr  0.0000  0.5000  0.5000  3 Pd 3.15-3.35, 4 Au 3.18
La  0.5000  0.0000  0.7265  4 Pd 3.15, 3 Au 3.21-3.33
La  0.5000  0.5000  0.2265  4 Pd 3.15, 3 Au 3.21-3.33
Pd  0.0000  0.0000  0.2720  2 Au 3.02, 4 La 3.15, 3 Sr 3.15-3.35
Pd  0.0000  0.5000  0.7720  2 Au 3.02, 4 La 3.15, 3 Sr 3.15-3.35
Au  0.5000  0.0000  0.4387  2 Pd 3.02, 4 Sr 3.18, 3 La 3.21-3.33
Au  0.5000  0.5000  0.9387  2 Pd 3.02, 4 Sr 3.18, 3 La 3.21-3.33

Properties
Calculated total energy in eV per atom: -4.5266
DFT formation energy in eV/atom: -0.76
SG: No. 38
N(E_F) in states/eV per cell: 6.2